1.
Here is an optimized crystal structure of Li2Y3Pd5 from Alexandria via LeMat-Bulk. Energies are from GGA-PBE.

E_tot, eV per cell: -113.05
DFT formation energy, eV per formula unit: -7.3
Volume, Å³/atom: 18.2

abc: 3.685 9.945 9.945
angles: 90.00 90.00 90.00
Positions (direct):
Y  0.000  0.325  0.825
Pd  0.500  0.000  0.500
Y  0.000  0.000  0.000
Li  0.000  0.880  0.380
Li  0.000  0.620  0.880
Li  0.000  0.120  0.620
Pd  0.500  0.216  0.070
Pd  0.500  0.284  0.570
Li  0.000  0.380  0.120
Pd  0.500  0.716  0.430
Pd  0.500  0.784  0.930
Pd  0.500  0.430  0.284
Y  0.000  0.175  0.325
Pd  0.500  0.070  0.784
Pd  0.500  0.930  0.216
Y  0.000  0.500  0.500
Pd  0.500  0.570  0.716
Y  0.000  0.825  0.675
Pd  0.500  0.500  0.000
Y  0.000  0.675  0.175

***

2.
Here is an optimized crystal structure of LiY3Pd2 from Alexandria via LeMat-Bulk. Energies are from GGA-PBE.

E_tot, eV per cell: -70.33
DFT formation energy, eV per formula unit: -3.5
Volume, Å³/atom: 22.4

abc: 5.009 5.009 12.389
angles: 90.00 90.00 120.00
Positions (direct):
Pd  0.000  0.000  0.000
Pd  0.333  0.667  0.183
Y  0.667  0.333  0.582
Y  0.333  0.667  0.924
Y  0.333  0.667  0.418
Pd  0.667  0.333  0.817
Y  0.000  0.000  0.242
Li  0.667  0.333  0.330
Pd  0.000  0.000  0.500
Y  0.000  0.000  0.758
Li  0.333  0.667  0.670
Y  0.667  0.333  0.076

***

3.
Here is an optimized crystal structure of LiYPd2 from Alexandria via LeMat-Bulk. Energies are from GGA-PBE.

E_tot, eV per cell: -37.23
DFT formation energy, eV per formula unit: 0.2
Volume, Å³/atom: 25.0

abc: 5.950 5.950 7.042
angles: 65.01 65.01 90.00
Positions (direct):
Y  0.750  0.250  0.500
Pd  0.570  0.125  0.250
Pd  0.875  0.820  0.750
Li  0.500  0.500  0.000
Pd  0.375  0.430  0.750
Pd  0.180  0.625  0.250
Y  0.000  0.000  0.000
Li  0.250  0.750  0.500

***

4.
Here is an optimized crystal structure of LiY2Pd3 from Alexandria via LeMat-Bulk. Energies are from GGA-PBE.

E_tot, eV per cell: -69.77
Energy above the most stable polymorph in this dataset, meV per atom: 14
DFT formation energy, eV per formula unit: -4.5
Volume, Å³/atom: 19.7

abc: 4.852 4.852 11.614
angles: 90.00 90.00 120.00
Positions (direct):
Y  0.000  0.000  0.000
Li  0.667  0.333  0.334
Pd  0.333  0.667  0.916
Pd  0.000  0.000  0.251
Pd  0.667  0.333  0.084
Y  0.000  0.000  0.500
Pd  0.667  0.333  0.569
Li  0.333  0.667  0.666
Y  0.667  0.333  0.814
Y  0.333  0.667  0.186
Pd  0.000  0.000  0.749
Pd  0.333  0.667  0.431

***

5.
Here is an optimized crystal structure of Li3Y2Pd4 from Alexandria via LeMat-Bulk. Energies are from GGA-PBE.

E_tot, eV per cell: -90.20
DFT formation energy, eV per formula unit: -5.7
Volume, Å³/atom: 17.5

abc: 5.580 7.585 7.930
angles: 90.00 110.60 90.00
Positions (direct):
Pd  0.201  0.750  0.902
Li  0.032  0.750  0.565
Pd  0.324  0.470  0.648
Y  0.613  0.912  0.226
Pd  0.299  0.250  0.098
Li  0.500  0.500  0.000
Y  0.887  0.412  0.774
Y  0.387  0.088  0.774
Pd  0.701  0.750  0.902
Pd  0.676  0.530  0.352
Li  0.000  0.000  0.000
Pd  0.176  0.970  0.352
Y  0.113  0.588  0.226
Li  0.468  0.250  0.435
Li  0.968  0.250  0.435
Pd  0.824  0.030  0.648
Li  0.532  0.750  0.565
Pd  0.799  0.250  0.098

***

6.
Here is an optimized crystal structure of Li2Y2ZnPd5 from Alexandria via LeMat-Bulk. Energies are from GGA-PBE.

E_tot, eV per cell: -100.85
DFT formation energy, eV per formula unit: -6.4
Volume, Å³/atom: 16.6

abc: 3.646 9.542 9.542
angles: 90.00 90.00 90.00
Positions (direct):
Pd  0.500  0.296  0.565
Pd  0.500  0.204  0.065
Pd  0.500  0.500  0.000
Li  0.000  0.120  0.620
Zn  0.000  0.500  0.500
Pd  0.500  0.435  0.296
Pd  0.500  0.796  0.935
Y  0.000  0.679  0.179
Y  0.000  0.821  0.679
Li  0.000  0.380  0.120
Pd  0.500  0.000  0.500
Pd  0.500  0.565  0.704
Pd  0.500  0.065  0.796
Li  0.000  0.880  0.380
Y  0.000  0.321  0.821
Y  0.000  0.179  0.321
Li  0.000  0.620  0.880
Pd  0.500  0.704  0.435
Pd  0.500  0.935  0.204
Zn  0.000  0.000  0.000

***

7.
Here is an optimized crystal structure of LiYZn2Pd4 from Alexandria via LeMat-Bulk. Energies are from GGA-PBE.

E_tot, eV per cell: -36.82
DFT formation energy, eV per formula unit: -5.1
Volume, Å³/atom: 16.3

abc: 4.396 4.396 8.178
angles: 74.41 74.41 60.00
Positions (direct):
Pd  0.606  0.606  0.183
Zn  0.242  0.242  0.274
Zn  0.758  0.758  0.726
Pd  0.873  0.873  0.382
Y  0.000  0.000  0.000
Pd  0.394  0.394  0.817
Pd  0.127  0.127  0.618
Li  0.500  0.500  0.500

***

8.
Here is an optimized crystal structure of LiYbPd2 from Alexandria via LeMat-Bulk. Energies are from GGA-PBE.

E_tot, eV per cell: -16.35
DFT formation energy, eV per formula unit: -2.5
Volume, Å³/atom: 17.3

abc: 4.608 4.608 4.608
angles: 60.00 60.00 60.00
Positions (direct):
Pd  0.500  0.500  0.500
Li  0.250  0.250  0.250
Pd  0.000  0.000  0.000
Yb  0.750  0.750  0.750